1.
# AgTe2Pd8, relaxed, DFT PBE
data_AgTe2Pd8
_symmetry_space_group_name_H-M 'P 1'
_symmetry_Int_Tables_number 1
_cell_length_a 4.7359
_cell_length_b 6.1300
_cell_length_c 7.6052
_cell_angle_alpha 112.11
_cell_angle_beta 106.10
_cell_angle_gamma 94.72
loop_
_symmetry_equiv_pos_as_xyz
'x,y,z'
loop_
_atom_site_label
_atom_site_fract_x
_atom_site_fract_y
_atom_site_fract_z
Ag1 0.0000 0.0000 0.0000
Te1 0.3778 0.3023 0.6870
Te2 0.6913 0.6162 0.3138
Pd1 0.1916 0.8993 0.3393
Pd2 0.2239 0.4418 0.3904
Pd3 0.3889 0.9004 0.7450
Pd4 0.4017 0.6850 0.0001
Pd5 0.6435 0.1558 0.2544
Pd6 0.8337 0.0524 0.6097
Pd7 0.8513 0.5604 0.6610
Pd8 0.8944 0.4369 0.0003
# Total DFT energy (no corrections) (eV per formula unit): -52.594
# Total magnetization (μB per formula unit): 0.0
# Polymorph energy (0 for the lowest one) (eV per atom): 0.027
# Formation energy (no corrections) (eV per atom): -0.1743



2.
# TaFeRe2, relaxed, DFT PBE
data_TaFeRe2
_symmetry_space_group_name_H-M 'P 4/m m m'
_symmetry_Int_Tables_number 123
_symmetry_space_group_name_Hall '-P 4 2'
_cell_length_a 3.1509
_cell_length_b 3.1509
_cell_length_c 6.0559
_cell_angle_alpha 90.00
_cell_angle_beta 90.00
_cell_angle_gamma 90.00
loop_
_atom_site_label
_atom_site_fract_x
_atom_site_fract_y
_atom_site_fract_z
Ta1 0.0000 0.0000 0.0000
Fe1 0.0000 0.0000 0.5000
Re1 0.5000 0.5000 0.2680
# Total DFT energy (no corrections) (eV per formula unit): -45.281
# Total magnetization (μB per formula unit): 2.9
# Formation energy from the elements (eV per atom): -0.0174



3.
# Tb2Pr9Th, relaxed, DFT PBE
data_Tb2Pr9Th
_symmetry_space_group_name_H-M 'P 4/m m m'
_symmetry_Int_Tables_number 123
_symmetry_space_group_name_Hall '-P 4 2'
_cell_length_a 5.2006
_cell_length_b 5.2006
_cell_length_c 15.5980
_cell_angle_alpha 90.00
_cell_angle_beta 90.00
_cell_angle_gamma 90.00
loop_
_atom_site_label
_atom_site_fract_x
_atom_site_fract_y
_atom_site_fract_z
Tb1 0.0000 0.0000 0.1662
Pr1 0.0000 0.5000 0.0000
Pr2 0.0000 0.5000 0.3356
Pr3 0.5000 0.5000 0.1650
Pr4 0.5000 0.5000 0.5000
Th1 0.0000 0.0000 0.5000
# Total DFT energy (no corrections) (eV per formula unit): -59.303
# Total magnetization (μB per formula unit): 0.0
# Formation energy from the elements (eV per atom): 0.0327



4.
# NbTcGe2N, relaxed, DFT PBE
data_NbTcGe2N
_symmetry_space_group_name_H-M 'P 4/m m m'
_symmetry_Int_Tables_number 123
_symmetry_space_group_name_Hall '-P 4 2'
_cell_length_a 4.2646
_cell_length_b 4.2646
_cell_length_c 4.0734
_cell_angle_alpha 90.00
_cell_angle_beta 90.00
_cell_angle_gamma 90.00
loop_
_atom_site_label
_atom_site_fract_x
_atom_site_fract_y
_atom_site_fract_z
Nb1 0.0000 0.0000 0.0000
Tc1 0.5000 0.5000 0.0000
Ge1 0.0000 0.5000 0.5000
N1 0.0000 0.0000 0.5000
# Total DFT energy (no corrections) (eV per formula unit): -36.108
# Total magnetization (μB per formula unit): 0.0
# Formation energy (no corrections) (eV per atom): 0.3775



5.
# Tb4CS2Cl, relaxed, DFT PBE
data_Tb4CS2Cl
_symmetry_space_group_name_H-M 'P 1 2/m 1'
_symmetry_Int_Tables_number 10
_cell_length_a 6.6304
_cell_length_b 3.8073
_cell_length_c 6.8815
_cell_angle_alpha 90.00
_cell_angle_beta 108.49
_cell_angle_gamma 90.00
loop_
_symmetry_equiv_pos_as_xyz
'x,y,z'
'-x,-y,-z'
'-x,y,-z'
'x,-y,z'
loop_
_atom_site_label
_atom_site_fract_x
_atom_site_fract_y
_atom_site_fract_z
Tb1 0.2208 0.0000 0.2106
Tb2 0.2432 0.5000 0.7856
C1 0.0000 0.5000 0.0000
S1 0.5000 0.0000 0.0000
S2 0.5000 0.5000 0.5000
Cl1 0.0000 0.0000 0.5000
# Total DFT energy (no corrections) (eV per formula unit): -49.768
# Total magnetization (μB per formula unit): 0.0
# Formation energy (no corrections) (eV per atom): -1.4902



6.
# Tm2ThPaC4, relaxed, DFT PBE
data_Tm2ThPaC4
_symmetry_space_group_name_H-M 'P 1 2/m 1'
_symmetry_Int_Tables_number 10
_cell_length_a 6.1859
_cell_length_b 3.6484
_cell_length_c 6.2909
_cell_angle_alpha 90.00
_cell_angle_beta 109.54
_cell_angle_gamma 90.00
loop_
_symmetry_equiv_pos_as_xyz
'x,y,z'
'-x,-y,-z'
'-x,y,-z'
'x,-y,z'
loop_
_atom_site_label
_atom_site_fract_x
_atom_site_fract_y
_atom_site_fract_z
Tm1 0.0000 0.0000 0.0000
Tm2 0.0000 0.5000 0.5000
Th1 0.5000 0.0000 0.5000
Pa1 0.5000 0.5000 0.0000
C1 0.2560 0.5000 0.2380
C2 0.2630 0.0000 0.7642
# Total DFT energy (no corrections) (eV per formula unit): -65.051
# Total magnetization (μB per formula unit): 0.0
# Formation energy from the elements (eV per atom): -0.2871



7.
# Sm2NbGe3Ir4, relaxed, DFT PBE
data_Sm2NbGe3Ir4
_symmetry_space_group_name_H-M 'P -4 m 2'
_symmetry_Int_Tables_number 115
_cell_length_a 4.1862
_cell_length_b 4.1862
_cell_length_c 10.7443
_cell_angle_alpha 90.00
_cell_angle_beta 90.00
_cell_angle_gamma 90.00
loop_
_symmetry_equiv_pos_as_xyz
'x,y,z'
'y,-x,-z'
'-x,-y,z'
'-y,x,-z'
'-x,y,z'
'-y,-x,-z'
'x,-y,z'
'y,x,-z'
loop_
_atom_site_label
_atom_site_fract_x
_atom_site_fract_y
_atom_site_fract_z
Sm1 0.0000 0.5000 0.2381
Nb1 0.0000 0.0000 0.5000
Ge1 0.0000 0.5000 0.8714
Ge2 0.5000 0.5000 0.5000
Ir1 0.0000 0.0000 0.0000
Ir2 0.0000 0.5000 0.6417
Ir3 0.5000 0.5000 0.0000
# Total DFT energy (no corrections) (eV per formula unit): -76.302
# Total magnetization (μB per formula unit): 0.0
# Formation energy from the elements (eV per atom): -0.7498



8.
# La2Ge3PRh4, relaxed, DFT PBE
data_La2Ge3PRh4
_symmetry_space_group_name_H-M 'P -4 m 2'
_symmetry_Int_Tables_number 115
_cell_length_a 4.3046
_cell_length_b 4.3046
_cell_length_c 10.0077
_cell_angle_alpha 90.00
_cell_angle_beta 90.00
_cell_angle_gamma 90.00
loop_
_symmetry_equiv_pos_as_xyz
'x,y,z'
'y,-x,-z'
'-x,-y,z'
'-y,x,-z'
'-x,y,z'
'-y,-x,-z'
'x,-y,z'
'y,x,-z'
loop_
_atom_site_label
_atom_site_fract_x
_atom_site_fract_y
_atom_site_fract_z
La1 0.0000 0.5000 0.2378
Ge1 0.0000 0.0000 0.0000
Ge2 0.0000 0.5000 0.6308
P1 0.5000 0.5000 0.0000
Rh1 0.0000 0.0000 0.5000
Rh2 0.0000 0.5000 0.8840
Rh3 0.5000 0.5000 0.5000
# Total DFT energy (no corrections) (eV per formula unit): -68.035
# Total magnetization (μB per formula unit): 0.0
# Formation energy from the elements (eV per atom): -0.9512



9.
# K2ReBr6Cl, relaxed, DFT PBE
data_K2ReBr6Cl
_symmetry_space_group_name_H-M 'P -1'
_symmetry_Int_Tables_number 2
_cell_length_a 6.5995
_cell_length_b 7.0866
_cell_length_c 7.8663
_cell_angle_alpha 75.20
_cell_angle_beta 79.11
_cell_angle_gamma 85.92
loop_
_symmetry_equiv_pos_as_xyz
'x,y,z'
'-x,-y,-z'
loop_
_atom_site_label
_atom_site_fract_x
_atom_site_fract_y
_atom_site_fract_z
K1 0.2446 0.3396 0.2965
Re1 0.0000 0.0000 0.0000
Br1 0.1019 0.8545 0.3019
Br2 0.1817 0.7181 0.8858
Br3 0.3244 0.1799 0.9006
Cl1 0.5000 0.5000 0.5000
# Total DFT energy (no corrections) (eV per formula unit): -34.865
# Total magnetization (μB per formula unit): 2.0
# Formation energy (no corrections) (eV per atom): -0.8338



10.
# NpCoSi2, relaxed, DFT PBE
data_NpCoSi2
_symmetry_space_group_name_H-M 'P n m a'
_symmetry_Int_Tables_number 62
_cell_length_a 6.6927
_cell_length_b 3.9263
_cell_length_c 9.6700
_cell_angle_alpha 90.00
_cell_angle_beta 90.00
_cell_angle_gamma 90.00
loop_
_symmetry_equiv_pos_as_xyz
'x,y,z'
'-x,-y,-z'
'-x+1/2,-y,z+1/2'
'x+1/2,y,-z+1/2'
'x+1/2,-y+1/2,-z+1/2'
'-x+1/2,y+1/2,z+1/2'
'-x,y+1/2,-z'
'x,-y+1/2,z'
loop_
_atom_site_label
_atom_site_fract_x
_atom_site_fract_y
_atom_site_fract_z
Np1 0.1459 0.2500 0.1209
Co1 0.0118 0.7500 0.3940
Si1 0.1567 0.2500 0.8095
Si2 0.1935 0.2500 0.4212
# Total DFT energy (no corrections) (eV per formula unit): -32.703
# Total magnetization (μB per formula unit): 3.5
# Formation energy (no corrections) (eV per atom): -0.4525



11.
# Ti2Zn2Ga, relaxed, DFT PBE
data_Ti2Zn2Ga
_symmetry_space_group_name_H-M 'P 4/m b m'
_symmetry_Int_Tables_number 127
_symmetry_space_group_name_Hall '-P 4 2ab'
_cell_length_a 6.3951
_cell_length_b 6.3951
_cell_length_c 3.9018
_cell_angle_alpha 90.00
_cell_angle_beta 90.00
_cell_angle_gamma 90.00
loop_
_atom_site_label
_atom_site_fract_x
_atom_site_fract_y
_atom_site_fract_z
Ti1 0.1655 0.3345 0.0000
Zn1 0.1332 0.6332 0.5000
Ga1 0.0000 0.0000 0.5000
# Total DFT energy (no corrections) (eV per formula unit): -22.235
# Total magnetization (μB per formula unit): 0.0
# Formation energy from the elements (eV per atom): -0.1741
# Polymorph energy (0 for the lowest one) (eV per atom): 0.054



12.
# LaZr3F, relaxed, DFT PBE
data_LaZr3F
_symmetry_space_group_name_H-M 'P m -3 m'
_symmetry_Int_Tables_number 221
_symmetry_space_group_name_Hall '-P 4 2 3'
_cell_length_a 4.7880
_cell_length_b 4.7880
_cell_length_c 4.7880
_cell_angle_alpha 90.00
_cell_angle_beta 90.00
_cell_angle_gamma 90.00
loop_
_atom_site_label
_atom_site_fract_x
_atom_site_fract_y
_atom_site_fract_z
La1 0.0000 0.0000 0.0000
Zr1 0.0000 0.5000 0.5000
F1 0.5000 0.5000 0.5000
# Total DFT energy (no corrections) (eV per formula unit): -34.915
# Total magnetization (μB per formula unit): 0.0
# Polymorph energy (0 for the lowest one) (eV per atom): 0.000
# Formation energy (no corrections) (eV per atom): -0.4944



13.
# KTi2Pb2, relaxed, DFT PBE
data_KTi2Pb2
_symmetry_space_group_name_H-M 'I 4/m m m'
_symmetry_Int_Tables_number 139
_symmetry_space_group_name_Hall '-I 4 2'
_cell_length_a 4.5762
_cell_length_b 4.5762
_cell_length_c 13.6439
_cell_angle_alpha 90.00
_cell_angle_beta 90.00
_cell_angle_gamma 90.00
loop_
_atom_site_label
_atom_site_fract_x
_atom_site_fract_y
_atom_site_fract_z
K1 0.0000 0.0000 0.0000
Ti1 0.0000 0.5000 0.2500
Pb1 0.0000 0.0000 0.3770
# Total DFT energy (no corrections) (eV per formula unit): -23.164
# Total magnetization (μB per formula unit): 2.0
# Formation energy from the elements (eV per atom): 0.2279
# Polymorph energy (0 for the lowest one) (eV per atom): 0.099



14.
# BaIr2RhO8, relaxed, DFT PBE
data_BaIr2RhO8
_symmetry_space_group_name_H-M 'P -3'
_symmetry_Int_Tables_number 147
_cell_length_a 5.3205
_cell_length_b 5.3205
_cell_length_c 7.6901
_cell_angle_alpha 90.00
_cell_angle_beta 90.00
_cell_angle_gamma 120.00
loop_
_symmetry_equiv_pos_as_xyz
'x,y,z'
'-x,-y,-z'
'-y,x-y,z'
'y,-x+y,-z'
'-x+y,-x,z'
'x-y,x,-z'
loop_
_atom_site_label
_atom_site_fract_x
_atom_site_fract_y
_atom_site_fract_z
Ba1 0.0000 0.0000 0.0000
Ir1 0.3333 0.6667 0.7020
Rh1 0.0000 0.0000 0.5000
O1 0.0157 0.2983 0.6715
O2 0.3333 0.6667 0.9448
# Total DFT energy (no corrections) (eV per formula unit): -76.592
# Total magnetization (μB per formula unit): 0.5
# Formation energy (no corrections) (eV per atom): -0.8275



15.
# Be2AlCoIr, relaxed, DFT PBE
data_Be2AlCoIr
_symmetry_space_group_name_H-M 'P 4/m m m'
_symmetry_Int_Tables_number 123
_symmetry_space_group_name_Hall '-P 4 2'
_cell_length_a 4.1538
_cell_length_b 4.1538
_cell_length_c 4.6938
_cell_angle_alpha 90.00
_cell_angle_beta 90.00
_cell_angle_gamma 90.00
loop_
_atom_site_label
_atom_site_fract_x
_atom_site_fract_y
_atom_site_fract_z
Be1 0.0000 0.5000 0.0000
Al1 0.0000 0.0000 0.5000
Co1 0.5000 0.5000 0.5000
Ir1 0.5000 0.5000 0.0000
# Total DFT energy (no corrections) (eV per formula unit): -23.982
# Total magnetization (μB per formula unit): 2.0
# Formation energy from the elements (eV per atom): 0.6360



16.
# KNaMgBr4, relaxed, DFT PBE
data_KNaMgBr4
_symmetry_space_group_name_H-M 'P 1 21/m 1'
_symmetry_Int_Tables_number 11
_cell_length_a 7.3881
_cell_length_b 7.6162
_cell_length_c 8.8984
_cell_angle_alpha 90.00
_cell_angle_beta 106.55
_cell_angle_gamma 90.00
loop_
_symmetry_equiv_pos_as_xyz
'x,y,z'
'-x,-y,-z'
'-x,y+1/2,-z'
'x,-y+1/2,z'
loop_
_atom_site_label
_atom_site_fract_x
_atom_site_fract_y
_atom_site_fract_z
K1 0.2360 0.2500 0.0525
Na1 0.2164 0.2500 0.5571
Mg1 0.2507 0.7500 0.3262
Br1 0.0135 0.5019 0.2738
Br2 0.4475 0.7500 0.1409
Br3 0.4701 0.7500 0.5957
# Total DFT energy (no corrections) (eV per formula unit): -21.564
# Total magnetization (μB per formula unit): 0.0
# Formation energy (no corrections) (eV per atom): -1.5516



17.
# LiCu2Pt, relaxed, DFT PBE
data_LiCu2Pt
_symmetry_space_group_name_H-M 'P 4/m m m'
_symmetry_Int_Tables_number 123
_symmetry_space_group_name_Hall '-P 4 2'
_cell_length_a 4.2487
_cell_length_b 4.2487
_cell_length_c 2.9334
_cell_angle_alpha 90.00
_cell_angle_beta 90.00
_cell_angle_gamma 90.00
loop_
_atom_site_label
_atom_site_fract_x
_atom_site_fract_y
_atom_site_fract_z
Li1 0.0000 0.0000 0.0000
Cu1 0.0000 0.5000 0.5000
Pt1 0.5000 0.5000 0.0000
# Total DFT energy (no corrections) (eV per formula unit): -17.221
# Total magnetization (μB per formula unit): 0.0
# Formation energy from the elements (eV per atom): -0.2684
# Polymorph energy (0 for the lowest one) (eV per atom): 0.008



18.
# AlHg2HBr, relaxed, DFT PBE
data_AlHg2HBr
_symmetry_space_group_name_H-M 'P 4/m m m'
_symmetry_Int_Tables_number 123
_symmetry_space_group_name_Hall '-P 4 2'
_cell_length_a 5.4697
_cell_length_b 5.4697
_cell_length_c 3.7763
_cell_angle_alpha 90.00
_cell_angle_beta 90.00
_cell_angle_gamma 90.00
loop_
_atom_site_label
_atom_site_fract_x
_atom_site_fract_y
_atom_site_fract_z
Al1 0.0000 0.0000 0.0000
Hg1 0.0000 0.5000 0.0000
H1 0.0000 0.0000 0.5000
Br1 0.5000 0.5000 0.5000
# Total DFT energy (no corrections) (eV per formula unit): -9.166
# Total magnetization (μB per formula unit): 0.0



19.
# SmFe2C3, relaxed, DFT PBE
data_SmFe2C3
_symmetry_space_group_name_H-M 'C m c m'
_symmetry_Int_Tables_number 63
_symmetry_space_group_name_Hall '-C 2c 2'
_cell_length_a 6.5491
_cell_length_b 9.0675
_cell_length_c 4.8134
_cell_angle_alpha 90.00
_cell_angle_beta 90.00
_cell_angle_gamma 90.00
loop_
_atom_site_label
_atom_site_fract_x
_atom_site_fract_y
_atom_site_fract_z
Sm1 0.0000 0.2128 0.2500
Fe1 0.1899 0.5000 0.0000
C1 0.0000 0.4172 0.7500
C2 0.1057 0.0720 0.7500
# Total DFT energy (no corrections) (eV per formula unit): -49.614
# Total magnetization (μB per formula unit): 0.6
# Formation energy from the elements (eV per atom): -0.0497



20.
# SiTeBr2, relaxed, DFT PBE
data_SiTeBr2
_symmetry_space_group_name_H-M 'R 3 m'
_symmetry_Int_Tables_number 160
_symmetry_space_group_name_Hall 'R 3 -2"'
_cell_length_a 3.8965
_cell_length_b 3.8965
_cell_length_c 26.0136
_cell_angle_alpha 90.00
_cell_angle_beta 90.00
_cell_angle_gamma 120.00
loop_
_atom_site_label
_atom_site_fract_x
_atom_site_fract_y
_atom_site_fract_z
Si1 0.0000 0.0000 0.0000
Te1 0.0000 0.0000 0.7222
Br1 0.0000 0.0000 0.2658
Br2 0.0000 0.0000 0.4756
# Total DFT energy (no corrections) (eV per formula unit): -11.882
# Total magnetization (μB per formula unit): 0.0
# Polymorph energy (0 for the lowest one) (eV per atom): 0.144
# Formation energy (no corrections) (eV per atom): 0.0072



| no. | theoretical density (Mg/m³) |
| --- | --- |
| 1 | 10.5 |
| 2 | 16.8 |
| 3 | 7.2 |
| 4 | 7.8 |
| 5 | 7.5 |
| 6 | 10.5 |
| 7 | 12.2 |
| 8 | 8.4 |
| 9 | 3.7 |
| 10 | 9.2 |
| 11 | 6.2 |
| 12 | 6.5 |
| 13 | 6.4 |
| 14 | 6.6 |
| 15 | 6.1 |
| 16 | 2.8 |
| 17 | 10.3 |
| 18 | 7.5 |
| 19 | 6.9 |
| 20 | 4.6 |